Entry 1:
# PBE-GGA FeSi3, optimized geometry
data_FeSi3
_space_group_name_H-M_alt 'I m m 2'
_space_group_IT_number 44
_cell_length_a 2.764
_cell_length_b 7.187
_cell_length_c 5.236
_cell_angle_alpha 90.00
_cell_angle_beta 90.00
_cell_angle_gamma 90.00
loop_
_space_group_symop_operation_xyz
'x,y,z'
'-x,-y,z'
'-x,y,z'
'x,-y,z'
'x+1/2,y+1/2,z+1/2'
'-x+1/2,-y+1/2,z+1/2'
'-x+1/2,y+1/2,z+1/2'
'x+1/2,-y+1/2,z+1/2'
loop_
_atom_site_label
_atom_site_type_symbol
_atom_site_fract_x
_atom_site_fract_y
_atom_site_fract_z
Fe1 Fe 0.000 0.000 0.000
Si1 Si 0.000 0.312 0.778
Si2 Si 0.000 0.500 0.155
# ρ: 4.474 Mg/m³
# formation energy from raw total energies: -0.062 eV per atom

Entry 2:
# PBE-GGA FeSi3, optimized geometry
data_FeSi3
_space_group_name_H-M_alt 'C m c m'
_space_group_IT_number 63
_space_group_name_Hall '-C 2c 2'
_cell_length_a 4.665
_cell_length_b 11.601
_cell_length_c 3.830
_cell_angle_alpha 90.00
_cell_angle_beta 90.00
_cell_angle_gamma 90.00
loop_
_atom_site_label
_atom_site_type_symbol
_atom_site_fract_x
_atom_site_fract_y
_atom_site_fract_z
Fe1 Fe 0.000 0.127 0.250
Si1 Si 0.000 0.278 0.750
Si2 Si 0.245 0.428 0.250
# ρ: 4.489 Mg/m³
# formation energy from raw total energies: 0.030 eV per atom

Entry 3:
# PBE-GGA FeSi4, optimized geometry
data_FeSi4
_space_group_name_H-M_alt 'I 4/m'
_space_group_IT_number 87
_space_group_name_Hall '-I 4'
_cell_length_a 5.685
_cell_length_b 5.685
_cell_length_c 3.905
_cell_angle_alpha 90.00
_cell_angle_beta 90.00
_cell_angle_gamma 90.00
loop_
_atom_site_label
_atom_site_type_symbol
_atom_site_fract_x
_atom_site_fract_y
_atom_site_fract_z
Fe1 Fe 0.000 0.000 0.000
Si1 Si 0.116 0.298 0.500
# ρ: 4.426 Mg/m³
# formation energy from raw total energies: 0.213 eV per atom